No. 1
A plane-wave DFT calculation with PBE was carried out for a relaxed Zr4MnBe crystal.

- V: 128.0 Å³/cell
- Space-group type: F-43m
- Total DFT energy (no corrections): -7.13 eV/atom

Cell lengths 5.657, 5.657, 5.657 Å; angles 60.00, 60.00, 60.00 degrees
Sites, in units of the cell vectors:
Zr 0.376 0.376 0.376
Zr 0.376 0.376 0.873
Zr 0.376 0.873 0.376
Zr 0.873 0.376 0.376
Mn 0.750 0.750 0.750
Be 0.000 0.000 0.000


No. 2
A plane-wave DFT calculation with PBE was carried out for a relaxed Pm2Pr8Nd3 crystal.

- E above lowest polymorph: 0.000 eV per atom
- V: 468.4 Å³/cell
- Space-group type: C2/m
- Total DFT energy (no corrections): -4.63 eV/atom

Cell lengths 9.027, 9.027, 6.311 Å; angles 107.34, 107.34, 83.57 degrees
Sites, in units of the cell vectors:
Pm 0.212 0.212 0.349
Pm 0.788 0.788 0.651
Pr 0.054 0.054 0.784
Pr 0.071 0.584 0.327
Pr 0.347 0.347 0.947
Pr 0.416 0.929 0.673
Pr 0.584 0.071 0.327
Pr 0.653 0.653 0.053
Pr 0.929 0.416 0.673
Pr 0.946 0.946 0.216
Nd 0.256 0.744 0.000
Nd 0.500 0.500 0.500
Nd 0.744 0.256 0.000


No. 3
A plane-wave DFT calculation with PBE was carried out for a relaxed InHgSe2 crystal.

- Formation energy without anion corrections: -0.147 eV per atom
- V: 202.2 Å³/cell
- Space-group type: Imm2
- Total DFT energy (no corrections): -2.65 eV/atom

Cell lengths 3.798, 3.921, 13.580 Å; angles 90.00, 90.00, 90.00 degrees
Sites, in units of the cell vectors:
In 0.000 0.000 0.000
In 0.500 0.500 0.500
Hg 0.000 0.500 0.239
Hg 0.500 0.000 0.739
Se 0.000 0.000 0.423
Se 0.000 0.500 0.666
Se 0.500 0.000 0.166
Se 0.500 0.500 0.923